! PBE LaAl2SnH, relaxed; values from VASP
! space group: P4/mmm, No. 123
! E_tot: -12.67 eV/cell
&SYSTEM
  ibrav = 0, nat = 5, ntyp = 4
/
ATOMIC_SPECIES
La 138.91 La.upf
Al 26.98 Al.upf
Sn 118.71 Sn.upf
H 1.01 H.upf
CELL_PARAMETERS angstrom
6.072 0.000 0.000
0.000 6.072 0.000
0.000 0.000 5.961
ATOMIC_POSITIONS crystal
La 0.000 0.000 0.000
Al 0.000 0.500 0.000
Al 0.500 0.000 0.000
Sn 0.000 0.000 0.500
H 0.500 0.500 0.500